## w
## Co2CuIF (PBE+U)

Data for a geometry-optimized Co2CuIF structure.

Output
N(E_F)   2.92 states/eV per cell

Lattice parameters (Å, degrees): 3.9954 3.9954 5.9766 90.00 90.00 90.00
Space group P4/mmm (No. 123)
One atom of each set of equivalent atoms:
Co: 0.0000 0.5000 0.0000 (multiplicity 2)
Cu: 0.0000 0.0000 0.5000 (multiplicity 1)
I: 0.5000 0.5000 0.5000 (multiplicity 1)
F: 0.5000 0.5000 0.0000 (multiplicity 1)

## x
## Co2CuIF (PBE+U)

Data for a geometry-optimized Co2CuIF structure.

Output
N(E_F)   1.96 states/eV per cell

Lattice parameters (Å, degrees): 5.0367 5.0367 4.9870 90.00 90.00 90.00
Space group P4/mmm (No. 123)
One atom of each set of equivalent atoms:
Co: 0.0000 0.5000 0.0000 (multiplicity 2)
Cu: 0.0000 0.0000 0.5000 (multiplicity 1)
I: 0.0000 0.0000 0.0000 (multiplicity 1)
F: 0.5000 0.5000 0.5000 (multiplicity 1)

Least stable of them? x.